# Mg3PdN, relaxed, DFT PBE-GGA
data_Mg3PdN
_cell_length_a 4.842
_cell_length_b 4.842
_cell_length_c 4.842
_cell_angle_alpha 90.00
_cell_angle_beta 90.00
_cell_angle_gamma 90.00
_space_group_name_H-M_alt 'P 1'
_space_group_IT_number 1
loop_
_space_group_symop_operation_xyz
'x,y,z'
loop_
_atom_site_label
_atom_site_type_symbol
_atom_site_fract_x
_atom_site_fract_y
_atom_site_fract_z
_atom_site_occupancy
Mg1 Mg 0.000 0.500 0.000 1
Mg2 Mg 0.000 0.000 0.500 1
Mg3 Mg 0.500 0.000 0.000 1
Pd1 Pd 0.000 0.000 0.000 1
N1 N 0.500 0.500 0.500 1
# Calculated volume   22.7 Å³ per atom
# Energy relative to the lowest polymorph listed for this composition   1.3796 eV/atom
# Spin magnetization   0.0 μB per cell
# E_form (uncorrected)   0.827 eV per atom